Record 1
Below is Tm2Ni12As7 after structural relaxation, with properties calculated at the PBE level.

Computed properties:
DOS(E_F) in states/eV/f.u.: 13.59
Energy above the most stable polymorph in this dataset in meV per atom: 0
Formation energy in eV/atom: -0.5270
Crystal system: hexagonal

```
data_Tm2Ni12As7
_chemical_formula_sum 'Tm2 Ni12 As7'
_cell_length_a 9.3508
_cell_length_b 9.3508
_cell_length_c 3.8213
_cell_angle_alpha 90.00
_cell_angle_beta 90.00
_cell_angle_gamma 120.00
_symmetry_space_group_name_H-M 'P -6'
_symmetry_Int_Tables_number 174
_symmetry_space_group_name_Hall 'P -6'
loop_
_atom_site_label
_atom_site_type_symbol
_atom_site_fract_x
_atom_site_fract_y
_atom_site_fract_z
Tm1 Tm 0.0000 0.0000 0.0000
Tm2 Tm 0.3333 0.6667 0.5000
Ni1 Ni 0.0438 0.7594 0.5000
Ni2 Ni 0.1061 0.3908 0.0000
Ni3 Ni 0.3857 0.2045 0.0000
Ni4 Ni 0.5513 0.1235 0.5000
As1 As 0.0713 0.6194 0.0000
As2 As 0.2581 0.0353 0.5000
As3 As 0.6667 0.3333 0.0000
```

Record 2
Below is AcInCl2 after structural relaxation, with properties calculated at the PBE level.

Computed properties:
DOS(E_F) in states/eV/f.u.: 0.76
Energy relative to the elements, uncorrected in eV per atom: -1.0463
Crystal system: trigonal

```
data_AcInCl2
_chemical_formula_sum 'Ac3 In3 Cl6'
_cell_length_a 4.3425
_cell_length_b 4.3425
_cell_length_c 28.9528
_cell_angle_alpha 90.00
_cell_angle_beta 90.00
_cell_angle_gamma 120.00
_symmetry_space_group_name_H-M 'R -3 m'
_symmetry_Int_Tables_number 166
_symmetry_space_group_name_Hall '-R 3 2"'
loop_
_atom_site_label
_atom_site_type_symbol
_atom_site_fract_x
_atom_site_fract_y
_atom_site_fract_z
Ac1 Ac 0.0000 0.0000 0.0000
In1 In 0.0000 0.0000 0.5000
Cl1 Cl 0.0000 0.0000 0.0990
```